The following is a PBE calculation of a relaxed structure of ZrSi2Os, from OQMD.

a = 4.5032 Å, b = 4.5032 Å, c = 4.5032 Å
α = 60.00°, β = 60.00°, γ = 60.00°
Last column: nearest neighbours and their distance in Å.
Atoms (fractional coordinates):
Zr: 0.0000 0.0000 0.0000  4 Os 2.76, 4 Si 2.76
Si: 0.2500 0.2500 0.2500  4 Zr 2.76, 4 Si 2.76
Si: 0.5000 0.5000 0.5000  4 Os 2.76, 4 Si 2.76
Os: 0.7500 0.7500 0.7500  4 Si 2.76, 4 Zr 2.76

The calculation puts the calculated total energy at -7.754 eV per atom.